{"formula": "KLi2NbSe4", "functional": "PBE", "state": "relaxed", "e_tot_ev_per_cell": -37.14, "dos_ef_per_ev_cell": 0.0, "total_magnetization_mub_per_cell": 0.00, "lattice_angstrom": [[-3.525, 3.525, 4.502], [3.525, -3.525, 4.502], [3.525, 3.525, -4.502]], "species": ["K", "Li", "Li", "Nb", "Se", "Se", "Se", "Se"], "frac_coords": [[0.000, 0.000, 0.000], [0.250, 0.750, 0.500], [0.750, 0.250, 0.500], [0.500, 0.500, 0.000], [0.145, 0.145, 0.604], [0.459, 0.855, 0.000], [0.541, 0.541, 0.396], [0.855, 0.459, 0.000]]}

***

{"formula": "YPuIr", "functional": "PBE", "state": "relaxed", "polymorph_energy_ev_per_atom": 0.338, "dos_ef_per_ev_cell": 7.2, "total_magnetization_mub_per_cell": 5.71, "e_form_ev_per_atom": -0.218, "lattice_angstrom": [[4.810, 0.000, 0.000], [-2.405, 4.166, 0.000], [0.000, 0.000, 3.299]], "species": ["Y", "Pu", "Ir"], "frac_coords": [[0.000, 0.000, 0.000], [0.333, 0.667, 0.403], [0.667, 0.333, 0.642]]}

***

Q: What is the formula in the first record?
A: KLi2NbSe4

***

What did the second record say?
{"formula": "YPuIr", "functional": "PBE", "state": "relaxed", "polymorph_energy_ev_per_atom": 0.338, "dos_ef_per_ev_cell": 7.2, "total_magnetization_mub_per_cell": 5.71, "e_form_ev_per_atom": -0.218, "lattice_angstrom": [[4.810, 0.000, 0.000], [-2.405, 4.166, 0.000], [0.000, 0.000, 3.299]], "species": ["Y", "Pu", "Ir"], "frac_coords": [[0.000, 0.000, 0.000], [0.333, 0.667, 0.403], [0.667, 0.333, 0.642]]}